# 1
Density functional theory data (PBE-GGA) for a relaxed structure of La2ZnGe3.

## Properties
energy = -29.2 eV for the cell shown
DFT formation energy = -697 meV per atom
magnetic moment = 0.000 μB per formula unit

Cell lengths 4.341, 4.387, 7.402 Å; angles 90.00, 90.00, 90.00 degrees
Space group Pmm2 (No. 25)
Asymmetric unit:
La1 0.000 0.000 0.000
La2 0.000 0.500 0.486
Zn1 0.500 0.500 0.821
Ge1 0.500 0.000 0.328
Ge2 0.500 0.000 0.668
Ge3 0.500 0.500 0.154


# 2
Density functional theory data (PBE-GGA) for a relaxed structure of KCrTc2.

## Properties
energy = -24.8 eV for the cell shown
DFT formation energy = 1658 meV per atom
magnetic moment = 1.428 μB per formula unit
E above lowest polymorph = 910 meV/atom

Cell lengths 5.034, 5.034, 2.694 Å; angles 90.00, 90.00, 90.00 degrees
Space group P4/mmm (No. 123)
Asymmetric unit:
K1 0.000 0.000 0.000
Cr1 0.500 0.500 0.000
Tc1 0.000 0.500 0.500


# 3
Density functional theory data (PBE-GGA) for a relaxed structure of LaZnAsN.

## Properties
energy = -66.4 eV for the cell shown
formation energy from raw total energies = -71.0 kJ/mol of atoms
magnetic moment = 0.000 μB per formula unit
E above lowest polymorph = 0 meV/atom

Cell lengths 4.0113, 4.0113, 18.1454 Å; angles 90.00, 90.00, 120.00 degrees
Space group R3m (No. 160, hexagonal axes)
Asymmetric unit:
La1 0.0000 0.0000 0.0000
Zn1 0.0000 0.0000 0.8050
As1 0.0000 0.0000 0.1977
N1 0.0000 0.0000 0.6979


# 4
Density functional theory data (PBE-GGA) for a relaxed structure of BaAcPtI.

## Properties
energy = -55.2 eV for the cell shown
formation energy from raw total energies = -115.5 kJ/mol of atoms
magnetic moment = 0.000 μB per formula unit

Cell lengths 4.5076, 4.5076, 26.5192 Å; angles 90.00, 90.00, 120.00 degrees
Space group R3m (No. 160, hexagonal axes)
Asymmetric unit:
Ba1 0.0000 0.0000 0.0000
Ac1 0.0000 0.0000 0.2050
Pt1 0.0000 0.0000 0.5944
I1 0.0000 0.0000 0.7720


# 5
Density functional theory data (PBE-GGA) for a relaxed structure of Ba2Mg3AlSn4.

## Properties
energy = -32.6 eV for the cell shown
DFT formation energy = -425 meV per atom
magnetic moment = 0.000 μB per formula unit

Cell lengths 4.950, 4.950, 11.902 Å; angles 90.00, 90.00, 90.00 degrees
Space group P-4m2 (No. 115)
Asymmetric unit:
Ba1 0.000 0.500 0.249
Mg1 0.000 0.000 0.000
Mg2 0.000 0.500 0.633
Al1 0.500 0.500 0.000
Sn1 0.000 0.000 0.500
Sn2 0.000 0.500 0.872
Sn3 0.500 0.500 0.500


# 6
Density functional theory data (PBE-GGA) for a relaxed structure of TbNd2Zn2Ga2.

## Properties
energy = -76.9 eV for the cell shown
DFT formation energy = -408 meV per atom
magnetic moment = 0.000 μB per formula unit

Cell lengths 4.4681, 4.4681, 28.7241 Å; angles 90.00, 90.00, 120.00 degrees
Space group R-3m (No. 166, hexagonal axes)
Asymmetric unit:
Tb1 0.0000 0.0000 0.0000
Nd1 0.0000 0.0000 0.1248
Zn1 0.0000 0.0000 0.3923
Ga1 0.0000 0.0000 0.2694


# 7
Density functional theory data (PBE-GGA) for a relaxed structure of RbCrI2.

## Properties
energy = -44.7 eV for the cell shown
formation energy from raw total energies = -29.5 kJ/mol of atoms
magnetic moment = 4.562 μB per formula unit
E above lowest polymorph = 257 meV/atom

Cell lengths 4.4624, 4.4624, 30.5022 Å; angles 90.00, 90.00, 120.00 degrees
Space group R-3m (No. 166, hexagonal axes)
Asymmetric unit:
Rb1 0.0000 0.0000 0.0000
Cr1 0.0000 0.0000 0.5000
I1 0.0000 0.0000 0.1160


# 8
Density functional theory data (PBE-GGA) for a relaxed structure of Rb2As2Pb.

## Properties
energy = -29.3 eV for the cell shown
DFT formation energy = 62 meV per atom
magnetic moment = 0.000 μB per formula unit

Cell lengths 4.908, 4.908, 14.097 Å; angles 90.00, 90.00, 90.00 degrees
Space group I4/mmm (No. 139)
Asymmetric unit:
Rb1 0.000 0.500 0.250
As1 0.000 0.000 0.084
Pb1 0.000 0.000 0.500


# 9
Density functional theory data (PBE-GGA) for a relaxed structure of YCuCSe2.

## Properties
energy = -19.3 eV for the cell shown
formation energy from raw total energies = 143.7 kJ/mol of atoms
magnetic moment = 0.783 μB per formula unit

Cell lengths 5.401, 5.401, 5.458 Å; angles 90.00, 90.00, 90.00 degrees
Space group P4/mmm (No. 123)
Asymmetric unit:
Y1 0.000 0.000 0.000
Cu1 0.000 0.000 0.500
C1 0.500 0.500 0.500
Se1 0.000 0.500 0.000


# 10
Density functional theory data (PBE-GGA) for a relaxed structure of HfAg3.

## Properties
energy = -36.1 eV for the cell shown
DFT formation energy = 117 meV per atom
magnetic moment = 0.000 μB per formula unit
E above lowest polymorph = 133 meV/atom

Cell lengths 3.089, 9.809, 4.986 Å; angles 90.00, 90.00, 90.00 degrees
Space group Imm2 (No. 44)
Asymmetric unit:
Hf1 0.000 0.000 0.000
Ag1 0.000 0.243 0.518
Ag2 0.000 0.500 0.998


# 11
Density functional theory data (PBE-GGA) for a relaxed structure of Cs2TaSe6.

## Properties
energy = -80.2 eV for the cell shown
formation energy from raw total energies = -60.7 kJ/mol of atoms
magnetic moment = 0.000 μB per formula unit

Cell lengths 14.646, 9.136, 4.643 Å; angles 90.00, 96.29, 90.00 degrees
Space group C2/m (No. 12)
Asymmetric unit:
Cs1 0.196 0.000 0.472
Ta1 0.000 0.500 0.000
Se1 0.000 0.321 0.500
Se2 0.127 0.307 0.936


# 12
Density functional theory data (PBE-GGA) for a relaxed structure of VBiP2Ir.

## Properties
energy = -20.9 eV for the cell shown
DFT formation energy = 2357 meV per atom
magnetic moment = 0.141 μB per formula unit

Cell lengths 5.067, 5.067, 4.983 Å; angles 90.00, 90.00, 90.00 degrees
Space group P4/mmm (No. 123)
Asymmetric unit:
V1 0.000 0.000 0.000
Bi1 0.000 0.000 0.500
P1 0.000 0.500 0.500
Ir1 0.500 0.500 0.000


# 13
Density functional theory data (PBE-GGA) for a relaxed structure of Er2CoSi3Ir4.

## Properties
energy = -77.1 eV for the cell shown
formation energy from raw total energies = -88.1 kJ/mol of atoms
magnetic moment = 1.061 μB per formula unit

Cell lengths 4.078, 4.078, 9.952 Å; angles 90.00, 90.00, 90.00 degrees
Space group P-4m2 (No. 115)
Asymmetric unit:
Er1 0.000 0.500 0.248
Co1 0.500 0.500 0.000
Si1 0.000 0.000 0.000
Si2 0.000 0.500 0.631
Ir1 0.000 0.000 0.500
Ir2 0.000 0.500 0.867
Ir3 0.500 0.500 0.500


# 14
Density functional theory data (PBE-GGA) for a relaxed structure of La3Pr2Si2.

## Properties
energy = -76.3 eV for the cell shown
formation energy from raw total energies = -41.1 kJ/mol of atoms
magnetic moment = 0.000 μB per formula unit

Cell lengths 12.381, 4.310, 8.647 Å; angles 90.00, 111.05, 90.00 degrees
Space group C2/m (No. 12)
Asymmetric unit:
La1 0.000 0.000 0.000
La2 0.133 0.000 0.444
Pr1 0.153 0.500 0.814
Si1 0.176 0.500 0.201


# 15
Density functional theory data (PBE-GGA) for a relaxed structure of NdSm4Bi3.

## Properties
energy = -78.0 eV for the cell shown
DFT formation energy = -465 meV per atom
magnetic moment = 0.000 μB per formula unit

Cell lengths 4.109, 8.809, 14.710 Å; angles 90.00, 90.00, 90.00 degrees
Space group Immm (No. 71)
Asymmetric unit:
Nd1 0.000 0.000 0.000
Sm1 0.000 0.296 0.133
Bi1 0.000 0.000 0.500
Bi2 0.000 0.500 0.320


# 16
Density functional theory data (PBE-GGA) for a relaxed structure of ScOsN2F.

## Properties
energy = -33.3 eV for the cell shown
formation energy from raw total energies = 54.1 kJ/mol of atoms
magnetic moment = 3.000 μB per formula unit
E above lowest polymorph = 813 meV/atom

Cell lengths 4.208, 4.208, 3.781 Å; angles 90.00, 90.00, 90.00 degrees
Space group P4/mmm (No. 123)
Asymmetric unit:
Sc1 0.000 0.000 0.000
Os1 0.500 0.500 0.500
N1 0.000 0.500 0.000
F1 0.000 0.000 0.500


# 17
Density functional theory data (PBE-GGA) for a relaxed structure of LiPrCu2.

## Properties
energy = -60.5 eV for the cell shown
DFT formation energy = -63 meV per atom
magnetic moment = 0.000 μB per formula unit
E above lowest polymorph = 44 meV/atom

Cell lengths 6.982, 4.009, 11.293 Å; angles 90.00, 90.00, 90.00 degrees
Space group Pnma (No. 62)
Asymmetric unit:
Li1 0.099 0.250 0.050
Pr1 0.119 0.250 0.355
Cu1 0.051 0.250 0.822
Cu2 0.212 0.250 0.630


# 18
Density functional theory data (PBE-GGA) for a relaxed structure of MnAg.

## Properties
energy = -56.8 eV for the cell shown
DFT formation energy = 1275 meV per atom
magnetic moment = 4.458 μB per formula unit

Cell lengths 7.389, 7.389, 7.389 Å; angles 90.00, 90.00, 90.00 degrees
Space group Pm-3n (No. 223)
Asymmetric unit:
Mn1 0.000 0.250 0.500
Ag1 0.000 0.500 0.250


# 19
Density functional theory data (PBE-GGA) for a relaxed structure of KLiCd2.

## Properties
energy = -5.2 eV for the cell shown
DFT formation energy = -101 meV per atom
magnetic moment = 0.000 μB per formula unit
E above lowest polymorph = 11 meV/atom

Cell lengths 3.680, 3.680, 8.172 Å; angles 90.00, 90.00, 90.00 degrees
Space group P4/mmm (No. 123)
Asymmetric unit:
K1 0.000 0.000 0.000
Li1 0.000 0.000 0.500
Cd1 0.500 0.500 0.320


# 20
Density functional theory data (PBE-GGA) for a relaxed structure of Tl8Bi2Au.

## Properties
energy = -60.0 eV for the cell shown
DFT formation energy = -2 meV per atom
magnetic moment = 0.000 μB per formula unit
E above lowest polymorph = 0 meV/atom

Cell lengths 18.357, 5.603, 6.505 Å; angles 90.00, 90.49, 90.00 degrees
Space group C2/m (No. 12)
Asymmetric unit:
Tl1 0.038 0.000 0.251
Tl2 0.083 0.500 0.903
Tl3 0.156 0.000 0.685
Tl4 0.159 0.500 0.384
Bi1 0.234 0.000 0.153
Au1 0.000 0.500 0.500


# 21
Density functional theory data (PBE-GGA) for a relaxed structure of LuVMo2.

## Properties
energy = -101.4 eV for the cell shown
DFT formation energy = 375 meV per atom
magnetic moment = 0.000 μB per formula unit

Cell lengths 3.0779, 3.0779, 25.8587 Å; angles 90.00, 90.00, 120.00 degrees
Space group R-3m (No. 166, hexagonal axes)
Asymmetric unit:
Lu1 0.0000 0.0000 0.0000
V1 0.0000 0.0000 0.5000
Mo1 0.0000 0.0000 0.2381


# 22
Density functional theory data (PBE-GGA) for a relaxed structure of NaCaAc.

## Properties
energy = -14.2 eV for the cell shown
DFT formation energy = 113 meV per atom
magnetic moment = 0.000 μB per formula unit
E above lowest polymorph = 56 meV/atom

Cell lengths 3.851, 3.851, 16.907 Å; angles 90.00, 90.00, 90.00 degrees
Space group I4mm (No. 107)
Asymmetric unit:
Na1 0.000 0.000 0.000
Ca1 0.000 0.000 0.661
Ac1 0.000 0.000 0.330


# 23
Density functional theory data (PBE-GGA) for a relaxed structure of As2Au.

## Properties
energy = -11.6 eV for the cell shown
DFT formation energy = 326 meV per atom
magnetic moment = 0.000 μB per formula unit

Cell lengths 2.9906, 2.9906, 7.6005 Å; angles 90.00, 90.00, 120.00 degrees
Space group P-3m1 (No. 164)
Asymmetric unit:
As1 0.3333 0.6667 0.3034
Au1 0.0000 0.0000 0.0000


# 24
Density functional theory data (PBE-GGA) for a relaxed structure of Hf3Zn2.

## Properties
energy = -65.4 eV for the cell shown
DFT formation energy = -56 meV per atom
magnetic moment = 0.000 μB per formula unit
E above lowest polymorph = 99 meV/atom

Cell lengths 4.277, 5.873, 7.747 Å; angles 90.00, 90.00, 90.00 degrees
Space group Immm (No. 71)
Asymmetric unit:
Hf1 0.000 0.000 0.000
Hf2 0.000 0.500 0.197
Zn1 0.000 0.210 0.500


# 25
Density functional theory data (PBE-GGA) for a relaxed structure of PrSn6Ru4.

## Properties
energy = -139.3 eV for the cell shown
DFT formation energy = -341 meV per atom
magnetic moment = 0.000 μB per formula unit

Cell lengths 6.954, 6.954, 9.879 Å; angles 90.00, 90.00, 90.00 degrees
Space group I-42m (No. 121)
Asymmetric unit:
Pr1 0.000 0.000 0.000
Sn1 0.000 0.500 0.000
Sn2 0.178 0.178 0.705
Ru1 0.171 0.171 0.421


# 26
Density functional theory data (PBE-GGA) for a relaxed structure of Dy3Tm4Pb4.

## Properties
energy = -100.0 eV for the cell shown
DFT formation energy = -315 meV per atom
magnetic moment = 2.240 μB per formula unit

Cell lengths 4.151, 9.363, 17.025 Å; angles 90.00, 90.00, 90.00 degrees
Space group Immm (No. 71)
Asymmetric unit:
Dy1 0.000 0.000 0.000
Dy2 0.000 0.500 0.109
Tm1 0.000 0.305 0.330
Pb1 0.000 0.000 0.250
Pb2 0.000 0.209 0.500